DFT (PBE) results for crystalline Nd2HoErTm6 at its relaxed geometry.

The mass density comes out at 8.6 g/cm³. For the total magnetization, the calculation gives 0.0 Bohr magnetons per cell. For the total energy, the calculation gives -4.432 eV/atom. For the formation energy, the calculation gives 114 kJ/mol of formula units.

abc: 9.599 8.686 8.686
angles: 118.16 94.67 94.67
Element x y z (fractional)
Tm 0.942 0.874 0.256
Tm 0.442 0.256 0.874
Tm 0.558 0.744 0.126
Tm 0.187 0.576 0.023
Tm 0.619 0.497 0.708
Tm 0.058 0.126 0.744
Tm 0.119 0.708 0.497
Tm 0.313 0.977 0.424
Tm 0.881 0.292 0.503
Tm 0.687 0.023 0.576
Tm 0.813 0.424 0.977
Tm 0.381 0.503 0.292
Ho 0.250 0.982 0.018
Ho 0.750 0.018 0.982
Er 0.750 0.594 0.406
Er 0.250 0.406 0.594
Nd 0.543 0.193 0.298
Nd 0.957 0.702 0.807
Nd 0.043 0.298 0.193
Nd 0.457 0.807 0.702